Entry 1:
Material: Tb5Pm3Tm4
Method: DFT, PBE
State: optimized geometry

CIF file:
```
data_Tb5Pm3Tm4
_symmetry_space_group_name_H-M 'C 1 2/m 1'
_symmetry_Int_Tables_number 12
_cell_length_a 17.922
_cell_length_b 5.699
_cell_length_c 8.672
_cell_angle_alpha 90.00
_cell_angle_beta 117.46
_cell_angle_gamma 90.00
loop_
_symmetry_equiv_pos_as_xyz
'x,y,z'
'-x,-y,-z'
'-x,y,-z'
'x,-y,z'
'x+1/2,y+1/2,z'
'-x+1/2,-y+1/2,-z'
'-x+1/2,y+1/2,-z'
'x+1/2,-y+1/2,z'
loop_
_atom_site_label
_atom_site_type_symbol
_atom_site_fract_x
_atom_site_fract_y
_atom_site_fract_z
_atom_site_occupancy
Tb1 Tb 0.000 0.000 0.000 1
Tb2 Tb 0.103 0.500 0.432 1
Tb3 Tb 0.158 0.500 0.885 1
Pm1 Pm 0.000 0.500 0.000 1
Pm2 Pm 0.185 0.000 0.218 1
Tm1 Tm 0.033 0.000 0.695 1
Tm2 Tm 0.204 0.000 0.647 1
```

=====

Entry 2:
Material: Tb6Pm2Tm3
Method: DFT, PBE
State: optimized geometry

CIF file:
```
data_Tb6Pm2Tm3
_symmetry_space_group_name_H-M 'C 1 2/m 1'
_symmetry_Int_Tables_number 12
_cell_length_a 6.105
_cell_length_b 10.589
_cell_length_c 11.653
_cell_angle_alpha 90.00
_cell_angle_beta 100.17
_cell_angle_gamma 90.00
loop_
_symmetry_equiv_pos_as_xyz
'x,y,z'
'-x,-y,-z'
'-x,y,-z'
'x,-y,z'
'x+1/2,y+1/2,z'
'-x+1/2,-y+1/2,-z'
'-x+1/2,y+1/2,-z'
'x+1/2,-y+1/2,z'
loop_
_atom_site_label
_atom_site_type_symbol
_atom_site_fract_x
_atom_site_fract_y
_atom_site_fract_z
_atom_site_occupancy
Tb1 Tb 0.249 0.000 0.247 1
Tb2 Tb 0.249 0.333 0.246 1
Pm1 Pm 0.000 0.333 0.500 1
Tm1 Tm 0.000 0.166 0.000 1
Tm2 Tm 0.000 0.500 0.000 1
```

=====

Asked for energy above the lowest structure with this stoichiometry across the records above, the calculation gives 251; 0 meV/atom in order.
Asked for energy relative to the elements across the records above, the calculation gives 0.269; 0.180 eV/atom in order.